# Na3Sc3AlS8

Crystalline Na3Sc3AlS8 at its relaxed geometry (PBE-GGA, the Alexandria database).

The crystal system is trigonal. The value obtained for the uncorrected formation energy is -144.31 kJ per mole of atoms.

Cell lengths 8.0166, 8.0166, 8.0166 Å; angles 54.55, 54.55, 54.55 degrees
Closest atoms and distances in Å follow each position.
Element x y z (fractional)
Na (0.0000, 0.5000, 0.5000)  6 S 2.86-2.88
Na (0.5000, 0.0000, 0.5000)  6 S 2.86-2.88
Na (0.5000, 0.5000, 0.0000)  6 S 2.86-2.88
Sc (0.0000, 0.0000, 0.5000)  6 S 2.58
Sc (0.0000, 0.5000, 0.0000)  6 S 2.58
Sc (0.5000, 0.0000, 0.0000)  6 S 2.58
Al (0.5000, 0.5000, 0.5000)  6 S 2.47
S (0.2390, 0.2390, 0.2390)  3 Sc 2.58, 3 Na 2.86
S (0.2499, 0.7283, 0.7283)  1 Al 2.47, 2 Sc 2.58
S (0.2717, 0.2717, 0.7501)  1 Al 2.47, 2 Sc 2.58
S (0.2717, 0.7501, 0.2717)  1 Al 2.47, 2 Sc 2.58
S (0.7283, 0.2499, 0.7283)  1 Al 2.47, 2 Sc 2.58
S (0.7283, 0.7283, 0.2499)  1 Al 2.47, 2 Sc 2.58
S (0.7501, 0.2717, 0.2717)  1 Al 2.47, 2 Sc 2.58
S (0.7610, 0.7610, 0.7610)  3 Sc 2.58, 3 Na 2.86